Below is a relaxed Pu2Mg3Au3 crystal, with properties calculated at the PBE level.

abc: 8.3083 8.3083 2.9859
angles: 90.00 90.00 120.00
Space group P-62m (No. 189)
Inequivalent atoms, fractional coordinates:
Pu 0.3333 0.6667 0.0000 (multiplicity 2)
Mg 0.0000 0.7697 0.0000 (multiplicity 3)
Au 0.0000 0.3259 0.5000 (multiplicity 3)

Output
Its formation energy is -311 meV/atom.